Entry from Alexandria: crystalline MgW at its relaxed geometry (GGA-PBE).

Lattice parameters (Å, degrees): 5.7617 5.7617 8.2238 90.00 90.00 90.00
Last column: nearest neighbours and their distance in Å.
Space group I4_1/amd (No. 141, origin choice 2)
Asymmetric unit:
1 Mg 0.0000 0.0000 0.0000 x8  6 W 2.88-2.89, 6 Mg 2.88-2.89
2 W 0.0000 0.0000 0.5000 x8  6 W 2.88-2.89, 6 Mg 2.88-2.89

Calculated values
- D(E_F): 0.61 states/eV/f.u.
- DFT formation energy: 0.454 eV/atom
- Energy above the lowest structure with this stoichiometry: 0.193 eV/atom